1.
Re5Os PBE optimized geometry; space group = P-62m; calculated formation energy = -3.53 kJ/mol of atoms
1.0
-3.568 2.768 1.671
2.996 -2.182 3.073
2.687 3.531 -0.112
Re Os
5 1
Cartesian
-1.377 1.116 2.141 Re
0.805 -0.530 2.607 Re
2.342 1.038 0.968 Re
0.154 2.688 0.501 Re
-0.572 0.586 4.740 Re
0.962 2.156 3.107 Os



2.
Re5Os PBE optimized geometry; space group = Cmmm; calculated formation energy = 32.89 kJ/mol of atoms
1.0
2.233 -7.059 0.000
2.233 7.059 0.000
0.000 0.000 2.905
Os Re
1 5
Cartesian
0.000 0.000 0.000 Os
2.233 4.418 1.453 Re
2.233 -2.120 0.000 Re
2.233 -4.418 1.453 Re
2.233 0.000 1.453 Re
2.233 2.120 0.000 Re



3.
ReOs2 PBE optimized geometry; space group = Imma; calculated formation energy = 45.63 kJ/mol of atoms
1.0
2.708 0.000 0.000
0.000 4.136 0.000
0.000 0.000 17.210
Os Re
8 4
Cartesian
1.354 1.034 7.943 Os
1.354 1.034 5.386 Os
1.354 3.102 11.824 Os
1.354 3.102 9.268 Os
0.000 1.034 0.663 Os
0.000 3.102 13.991 Os
0.000 3.102 16.548 Os
0.000 1.034 3.219 Os
0.000 3.102 6.728 Re
1.354 3.102 1.878 Re
0.000 1.034 10.483 Re
1.354 1.034 15.333 Re



4.
ReOs2 PBE optimized geometry; space group = Pa-3; calculated formation energy = 123.73 kJ/mol of atoms
1.0
6.021 0.000 0.000
0.000 6.021 0.000
0.000 0.000 6.021
Re Os
4 8
Cartesian
0.000 3.011 3.011 Re
3.011 3.011 0.000 Re
3.011 0.000 3.011 Re
0.000 0.000 0.000 Re
2.325 2.325 2.325 Os
0.685 3.696 5.336 Os
5.336 2.325 0.685 Os
5.336 0.685 3.696 Os
0.685 5.336 2.325 Os
3.696 5.336 0.685 Os
3.696 3.696 3.696 Os
2.325 0.685 5.336 Os



5.
Re4Os3 PBE optimized geometry; space group = Amm2; calculated formation energy = 11.09 kJ/mol of atoms
1.0
2.185 -8.635 0.000
2.185 8.635 0.000
0.000 0.000 2.761
Os Re
3 4
Cartesian
2.185 1.043 0.000 Os
2.185 3.712 1.381 Os
2.185 -8.490 1.381 Os
2.185 -3.718 0.000 Re
2.185 6.335 0.000 Re
2.185 -1.345 1.381 Re
2.185 -6.172 0.000 Re



6.
ReOs2 PBE optimized geometry; space group = P6/mmm; calculated formation energy = 18.82 kJ/mol of atoms
1.0
2.168 -3.756 0.000
2.168 3.756 0.000
0.000 0.000 2.730
Os Re
2 1
Cartesian
2.168 1.252 0.000 Os
2.168 -1.252 0.000 Os
0.000 0.000 1.365 Re



7.
Re4Os3 PBE optimized geometry; space group = P6/mmm; calculated formation energy = 34.76 kJ/mol of atoms
1.0
2.520 -4.364 0.000
2.520 4.364 0.000
0.000 0.000 4.841
Re Os
4 3
Cartesian
2.520 -1.455 2.420 Re
2.520 1.455 2.420 Re
0.000 0.000 3.598 Re
0.000 0.000 1.243 Re
2.520 0.000 0.000 Os
1.260 -2.182 0.000 Os
1.260 2.182 0.000 Os



8.
Re5Os PBE optimized geometry; space group = Cmmm; calculated formation energy = 5.75 kJ/mol of atoms
1.0
1.952 -5.878 0.000
1.952 5.878 0.000
0.000 0.000 3.896
Re Os
5 1
Cartesian
1.952 -1.944 1.948 Re
1.952 -3.938 0.000 Re
0.000 0.000 1.948 Re
1.952 3.938 0.000 Re
1.952 1.944 1.948 Re
1.952 0.000 0.000 Os



9.
Re4Os3 PBE optimized geometry; space group = R3; calculated formation energy = 15.18 kJ/mol of atoms
1.0
3.439 -5.742 -0.005
3.439 5.742 -0.005
-6.143 0.000 2.657
Re Os
4 3
Cartesian
1.760 4.110 1.112 Re
-3.690 -0.844 2.626 Re
0.138 0.000 0.497 Re
3.169 -3.266 0.721 Re
-1.604 0.855 2.467 Os
2.297 1.482 1.383 Os
0.870 -2.337 1.780 Os



10.
Re4Os3 PBE optimized geometry; space group = R-3m; calculated formation energy = 36.81 kJ/mol of atoms
1.0
6.819 -2.162 -0.002
6.819 2.162 -0.002
6.135 0.000 3.679
Os Re
3 4
Cartesian
15.163 0.000 2.818 Os
9.886 0.000 1.837 Os
4.609 0.000 0.857 Os
1.939 0.000 0.360 Re
17.833 0.000 3.314 Re
7.257 0.000 1.349 Re
12.515 0.000 2.326 Re



11.
ReOs2 PBE optimized geometry; space group = P6_3/mmc; calculated formation energy = 20.25 kJ/mol of atoms
1.0
-3.481 -0.337 2.569
0.344 -2.505 -3.527
2.555 -3.817 2.961
Os Re
4 2
Cartesian
-2.600 -2.057 -0.127 Os
0.883 -2.907 0.815 Os
-1.031 -1.229 2.107 Os
0.591 -5.643 0.061 Os
-0.394 -0.997 -0.665 Re
-1.323 -3.966 1.352 Re



12.
ReOs2 PBE optimized geometry; space group = P4/mmm; calculated formation energy = 104.53 kJ/mol of atoms
1.0
4.305 0.000 0.000
0.000 4.305 0.000
0.000 0.000 2.843
Os Re
2 1
Cartesian
2.152 0.000 1.422 Os
0.000 2.152 1.422 Os
0.000 0.000 0.000 Re